Below is crystalline Na3Li3V2F12 at its relaxed geometry, with properties calculated at the GGA+U level.

Lattice parameters (Å, degrees): 10.9181 10.9181 10.9181 109.47 109.47 109.47
Site moments in Bohr magnetons follow the coordinates.
Fractional positions:
Na: 0.3750 0.1250 0.2500  0.00
Na: 0.7500 0.1250 0.3750  0.00
Na: 0.2500 0.3750 0.1250  0.00
Na: 0.1250 0.2500 0.3750  0.00
Na: 0.3750 0.7500 0.1250  0.00
Na: 0.1250 0.3750 0.7500  0.00
Na: 0.6250 0.8750 0.7500  0.00
Na: 0.2500 0.8750 0.6250  0.00
Na: 0.8750 0.6250 0.2500  0.00
Na: 0.6250 0.2500 0.8750  0.00
Na: 0.7500 0.6250 0.8750  0.00
Na: 0.8750 0.7500 0.6250  0.00
Li: 0.6250 0.3750 0.2500  0.00
Li: 0.1250 0.8750 0.2500  0.00
Li: 0.8750 0.1250 0.7500  0.00
Li: 0.2500 0.6250 0.3750  0.00
Li: 0.3750 0.2500 0.6250  0.00
Li: 0.7500 0.8750 0.1250  0.00
Li: 0.1250 0.7500 0.8750  0.00
Li: 0.3750 0.6250 0.7500  0.00
Li: 0.6250 0.7500 0.3750  0.00
Li: 0.8750 0.2500 0.1250  0.00
Li: 0.2500 0.1250 0.8750  0.00
Li: 0.7500 0.3750 0.6250  0.00
V: 0.0000 0.0000 0.0000  1.91
V: 0.5000 0.0000 0.0000  1.91
V: 0.0000 0.5000 0.0000  1.91
V: 0.0000 0.0000 0.5000  1.91
V: 0.5000 0.5000 0.0000  1.91
V: 0.0000 0.5000 0.5000  1.91
V: 0.5000 0.0000 0.5000  1.91
V: 0.5000 0.5000 0.5000  1.91
F: 0.0780 0.8826 0.4025  0.00
F: 0.6954 0.6756 0.0780  0.00
F: 0.8046 0.8826 0.9801  0.00
F: 0.9801 0.8046 0.8826  0.00
F: 0.8244 0.5199 0.4025  0.00
F: 0.6954 0.5199 0.6174  0.00
F: 0.6174 0.4220 0.0975  0.00
F: 0.6174 0.6954 0.5199  0.00
F: 0.6756 0.0780 0.6954  0.00
F: 0.5199 0.6174 0.6954  0.00
F: 0.0975 0.9801 0.6756  0.00
F: 0.8826 0.4025 0.0780  0.00
F: 0.4220 0.0975 0.6174  0.00
F: 0.4025 0.8244 0.5199  0.00
F: 0.0780 0.6954 0.6756  0.00
F: 0.0975 0.6174 0.4220  0.00
F: 0.5199 0.4025 0.8244  0.00
F: 0.4220 0.8244 0.8046  0.00
F: 0.9801 0.6756 0.0975  0.00
F: 0.8244 0.8046 0.4220  0.00
F: 0.1174 0.0199 0.1954  0.00
F: 0.5975 0.9220 0.1174  0.00
F: 0.1954 0.5780 0.1756  0.00
F: 0.1756 0.1954 0.5780  0.00
F: 0.3244 0.9025 0.0199  0.00
F: 0.0199 0.3244 0.9025  0.00
F: 0.9220 0.1174 0.5975  0.00
F: 0.4801 0.5975 0.1756  0.00
F: 0.9025 0.3826 0.5780  0.00
F: 0.9220 0.3046 0.3244  0.00
F: 0.5975 0.1756 0.4801  0.00
F: 0.5780 0.9025 0.3826  0.00
F: 0.3046 0.3244 0.9220  0.00
F: 0.1954 0.1174 0.0199  0.00
F: 0.0199 0.1954 0.1174  0.00
F: 0.1756 0.4801 0.5975  0.00
F: 0.3046 0.4801 0.3826  0.00
F: 0.3826 0.5780 0.9025  0.00
F: 0.3826 0.3046 0.4801  0.00
F: 0.3244 0.9220 0.3046  0.00
F: 0.4801 0.3826 0.3046  0.00
F: 0.9025 0.0199 0.3244  0.00
F: 0.1174 0.5975 0.9220  0.00
F: 0.5780 0.1756 0.1954  0.00
F: 0.8826 0.9801 0.8046  0.00
F: 0.4025 0.0780 0.8826  0.00
F: 0.8046 0.4220 0.8244  0.00
F: 0.6756 0.0975 0.9801  0.00

- Total DFT energy (no corrections): -421.72 eV/cell
- Total moment: 16.00 Bohr magnetons per cell